Computed, not measured: ErMgB5O10 after structural relaxation at the PBE-GGA level of DFT.

Structure (POSCAR):
```
ErMgB5O10
1.0
8.5654 0.0000 0.0000
0.0000 7.6502 0.0000
-7.9118 0.0000 9.4011
Er Mg B O
4 4 20 40
Cartesian
-1.4346 1.4729 2.3098
-5.3905 2.3522 7.0103
6.0441 5.2980 2.3908
2.0881 6.1773 7.0913
-2.8803 4.5351 8.1747
1.0756 6.9403 3.4742
-0.4221 0.7100 5.9269
3.5338 3.1151 1.2264
-4.0343 5.1662 5.6463
-0.0784 6.3091 0.9458
-6.5084 4.6021 9.3057
-2.5525 6.8732 4.6052
1.9532 0.2533 0.5359
-2.0027 3.5718 5.2364
0.8921 4.3886 2.3723
-3.0639 7.0867 7.0729
-3.1320 1.4304 8.5574
0.8239 2.3947 3.8569
-0.1704 5.2555 5.5442
3.7855 6.2198 0.8437
3.7174 0.5635 2.3282
-0.2385 3.2616 7.0287
2.6563 4.0784 4.1647
-1.2996 7.3969 8.8652
3.2061 0.7770 4.7959
7.1620 3.0481 0.0953
0.7320 1.3411 8.4553
4.6879 2.4840 3.7547
-7.4840 5.5932 9.1646
-3.5281 5.8821 4.4641
-6.4465 0.8712 8.6694
-2.4905 2.9539 3.9689
-5.8656 4.2344 8.1693
-1.9096 7.2410 3.4688
-0.1668 5.3877 2.1112
-4.1227 6.0876 6.8118
-3.1397 4.0550 6.0926
0.8162 7.4203 1.3921
1.6885 4.0649 1.1374
-2.2675 7.4105 5.8379
-3.6640 0.7034 7.5110
0.2919 3.1217 2.8105
-1.1966 4.7651 4.7857
2.7593 6.7102 0.0852
0.2163 1.1684 4.0181
-3.7397 2.6567 8.7187
2.8135 1.1451 1.3224
-1.1424 2.6800 6.0230
1.7959 4.9702 3.3781
-2.1600 6.5052 8.0786
4.3932 4.9936 0.6824
0.4373 6.4818 5.3829
-2.1058 0.9400 9.3159
1.8501 2.8851 4.6153
0.3616 4.5285 6.5906
4.3175 6.9468 1.8900
2.9210 0.2398 3.5631
-1.0349 3.5853 8.2637
-0.1627 0.2299 8.0090
3.7932 3.5952 3.3084
4.7763 1.5626 2.5893
0.8204 2.2625 7.2898
2.5632 0.4092 5.9323
6.5191 3.4159 1.2318
3.1441 4.6963 5.4322
7.1000 6.7790 0.7316
4.1816 1.7681 4.9370
8.1375 2.0570 0.2364
```

uncorrected formation energy = -2.693 eV per atom



Computed, not measured: NdGa8Co2 after structural relaxation at the PBE-GGA level of DFT.

Structure (POSCAR):
```
NdGa8Co2
1.0
5.6510 0.0000 0.0000
0.0000 5.6510 0.0000
0.0000 0.0000 7.5956
Nd Ga Co
1 8 2
Cartesian
0.0000 0.0000 0.0000
1.4313 1.4313 2.4008
1.4313 1.4313 5.1948
1.4313 4.2197 2.4008
1.4313 4.2197 5.1948
4.2197 1.4313 2.4008
4.2197 1.4313 5.1948
4.2197 4.2197 2.4008
4.2197 4.2197 5.1948
0.0000 2.8255 3.7978
2.8255 0.0000 3.7978
```

energy of formation from the pure elements = 0.2 eV/f.u.



Computed, not measured: NaAcAuO4 after structural relaxation at the PBE-GGA level of DFT.

Structure (POSCAR):
```
NaAcAuO4
1.0
3.0462 -5.5008 0.0000
3.0462 5.5008 0.0000
0.0000 0.0000 7.5541
Na Ac Au O
2 2 2 8
Cartesian
3.0462 3.6663 5.6656
3.0462 -3.6663 1.8885
3.0462 0.0000 0.0000
3.0462 0.0000 3.7771
3.0462 3.8115 1.8885
3.0462 -3.8115 5.6656
1.3945 0.1334 5.6656
1.3945 -0.1334 1.8885
3.0462 2.3610 0.5043
3.0462 2.3610 3.2727
3.0462 -2.3610 4.2814
3.0462 -2.3610 7.0498
4.6978 0.1334 5.6656
4.6978 -0.1334 1.8885
```

uncorrected formation energy = -1.222 eV per atom



Computed, not measured: CdFe2Au2 after structural relaxation at the PBE-GGA level of DFT.

Structure (POSCAR):
```
CdFe2Au2
1.0
7.7600 0.0000 0.0000
0.0000 7.7600 0.0000
0.0000 0.0000 2.8130
Cd Fe Au
2 4 4
Cartesian
0.0000 0.0000 0.0000
3.8800 3.8800 0.0000
0.8456 3.0345 0.0000
3.0345 6.9145 0.0000
4.7256 0.8456 0.0000
6.9145 4.7256 0.0000
1.4126 5.2926 1.4065
2.4674 1.4126 1.4065
5.2926 6.3474 1.4065
6.3474 2.4674 1.4065
```

energy of formation from the pure elements = 1.0 eV/f.u.



Computed, not measured: Rb4BrO4 after structural relaxation at the PBE-GGA level of DFT.

Structure (POSCAR):
```
Rb4BrO4
1.0
4.4403 0.0000 0.0000
-0.0031 7.7872 0.0000
-0.0254 -1.9718 7.8467
Rb Br O
4 1 4
Cartesian
-0.0010 1.6894 1.6482
2.1954 5.7074 2.4680
2.2163 0.1080 5.3787
4.4128 4.1259 6.1986
2.2201 0.0000 0.0000
-0.0091 -0.3731 3.5182
0.0027 4.2951 0.5709
4.4090 1.5202 7.2759
4.4208 6.1884 4.3285
```

uncorrected formation energy = -1.037 eV per atom



Computed, not measured: CuNi after structural relaxation at the PBE-GGA level of DFT.

Structure (POSCAR):
```
CuNi
1.0
2.5122 0.0000 0.0000
0.0000 2.5122 0.0000
0.0000 0.0000 7.1795
Cu Ni
2 2
Cartesian
0.6281 0.6281 0.9293
1.8842 1.8842 6.2502
0.6281 0.6281 4.4416
1.8842 1.8842 2.7379
```

energy of formation from the pure elements = 0.0 eV/f.u.



Computed, not measured: Zn3Pd2Au2 after structural relaxation at the PBE-GGA level of DFT.

Structure (POSCAR):
```
Zn3Pd2Au2
1.0
6.0066 0.0000 0.0000
0.0000 9.1273 0.0000
-0.0745 0.0000 4.3120
Zn Pd Au
6 4 4
Cartesian
0.0000 0.0000 0.0000
-0.0373 4.5636 2.1560
1.8870 0.9686 2.0770
1.8497 3.5951 4.2330
4.0823 5.5322 0.0790
4.0451 8.1587 2.2350
0.5955 5.8595 0.0129
0.5582 7.8314 2.1689
5.3738 1.2959 2.1431
5.3366 3.2678 4.2991
2.4848 5.8420 2.2114
2.5221 7.8489 0.0554
3.4100 1.2783 4.2566
3.4472 3.2853 2.1006
```

energy of formation from the pure elements = -1.7 eV/f.u.



Computed, not measured: LaAlAg2Rh after structural relaxation at the PBE-GGA level of DFT.

Structure (POSCAR):
```
LaAlAg2Rh
1.0
5.4253 0.0000 0.0000
0.0000 5.4253 0.0000
0.0000 0.0000 5.6867
La Al Ag Rh
1 1 2 1
Cartesian
0.0000 0.0000 0.0000
0.0000 0.0000 2.8434
0.0000 2.7127 0.0000
2.7127 0.0000 0.0000
2.7127 2.7127 2.8434
```

energy of formation from the pure elements = 8.1 eV/f.u.



Computed, not measured: SrCdInNi after structural relaxation at the PBE-GGA level of DFT.

Structure (POSCAR):
```
SrCdInNi
1.0
3.6469 0.0000 0.0000
0.0000 1.9009 7.2294
0.0000 -1.9009 7.2294
Sr Cd In Ni
1 1 1 1
Cartesian
0.0000 0.0000 0.0000
1.8235 0.0000 4.9910
1.8235 0.0000 9.6971
0.0000 0.0000 3.0000
```

energy of formation from the pure elements = -0.4 eV/f.u.



Computed, not measured: Zr2TaAl after structural relaxation at the PBE-GGA level of DFT.

Structure (POSCAR):
```
Zr2TaAl
1.0
3.1703 0.0000 0.0000
0.0000 3.8588 0.0000
0.0000 0.0000 6.5196
Zr Ta Al
2 1 1
Cartesian
0.0000 0.0000 0.0000
1.5851 1.9294 1.8257
1.5851 1.9294 4.8466
0.0000 0.0000 3.4403
```

energy of formation from the pure elements = -0.4 eV/f.u.



Computed, not measured: HPbF after structural relaxation at the PBE-GGA level of DFT.

Structure (POSCAR):
```
HPbF
1.0
-1.7031 1.7031 4.0545
1.7031 -1.7031 4.0545
1.7031 1.7031 -4.0545
H Pb F
1 1 1
Cartesian
0.0000 0.0000 0.0000
0.0000 0.0000 4.6856
0.0000 0.0000 2.3977
```

energy = -11.22 eV per formula unit



Computed, not measured: BaLi2TlAg after structural relaxation at the PBE-GGA level of DFT.

Structure (POSCAR):
```
BaLi2TlAg
1.0
5.2263 0.0000 0.0000
0.0000 5.2263 0.0000
0.0000 0.0000 5.4300
Ba Li Tl Ag
1 2 1 1
Cartesian
0.0000 0.0000 0.0000
0.0000 2.6132 2.7150
2.6132 0.0000 2.7150
2.6132 2.6132 0.0000
2.6132 2.6132 2.7150
```

energy of formation from the pure elements = -0.4 eV/f.u.



Copy entry 12 word for word.
Computed, not measured: BaLi2TlAg after structural relaxation at the PBE-GGA level of DFT.

Structure (POSCAR):
```
BaLi2TlAg
1.0
5.2263 0.0000 0.0000
0.0000 5.2263 0.0000
0.0000 0.0000 5.4300
Ba Li Tl Ag
1 2 1 1
Cartesian
0.0000 0.0000 0.0000
0.0000 2.6132 2.7150
2.6132 0.0000 2.7150
2.6132 2.6132 0.0000
2.6132 2.6132 2.7150
```

energy of formation from the pure elements = -0.4 eV/f.u.